The following is a DFT calculation (PBE) of an optimized crystal structure of PuZr2Ta.

Summary:
- ΔE to the lowest computed polymorph: 0.167 eV per atom
- Formation enthalpy at 0 K: 343 meV per atom

a = 11.0945 Å, b = 11.0945 Å, c = 11.0945 Å
α = 16.11°, β = 16.11°, γ = 16.11°
With the nearest neighbours (Å) after each atom.
Fractional coordinates of all 4 atoms:
Pu 0.0000 0.0000 0.0000  2 Zr 3.03, 6 Pu 3.11
Zr 0.0923 0.0923 0.0923  3 Ta 3.03, 1 Pu 3.03, 6 Zr 3.11
Zr 0.9077 0.9077 0.9077  3 Ta 3.03, 1 Pu 3.03, 6 Zr 3.11
Ta 0.5000 0.5000 0.5000  6 Zr 3.03, 6 Ta 3.11

---

The following is a DFT calculation (PBE) of an optimized crystal structure of LiTb3Cd2.

Summary:
- ΔE to the lowest computed polymorph: 0.000 eV per atom
- Formation enthalpy at 0 K: -184 meV per atom

a = 8.2984 Å, b = 8.2984 Å, c = 3.8029 Å
α = 90.00°, β = 90.00°, γ = 143.08°
With the nearest neighbours (Å) after each atom.
Fractional coordinates of all 6 atoms:
Li 0.0000 0.0000 0.0000  8 Tb 3.24
Tb 0.1666 0.8334 0.5000  2 Li 3.24, 6 Cd 3.24-3.28
Tb 0.5000 0.5000 0.5000  4 Cd 3.20, 4 Li 3.24
Tb 0.8334 0.1666 0.5000  2 Li 3.24, 6 Cd 3.24-3.28
Cd 0.3367 0.6633 0.0000  8 Tb 3.20-3.28
Cd 0.6633 0.3367 0.0000  8 Tb 3.20-3.28

---

The following is a DFT calculation (PBE) of an optimized crystal structure of BSeIN2.

Summary:
- ΔE to the lowest computed polymorph: 0.590 eV per atom

a = 3.8607 Å, b = 3.8607 Å, c = 6.7166 Å
α = 90.00°, β = 90.00°, γ = 90.00°
With the nearest neighbours (Å) after each atom.
Fractional coordinates of all 5 atoms:
B 0.0000 0.0000 0.0000  4 Se 2.73
Se 0.5000 0.5000 0.0000  4 B 2.73
I 0.5000 0.5000 0.5000  4 N 1.93
N 0.0000 0.5000 0.5000  2 I 1.93
N 0.5000 0.0000 0.5000  2 I 1.93

---

The following is a DFT calculation (PBE) of an optimized crystal structure of AsHIrOsAu.

Summary:
- ΔE to the lowest computed polymorph: 0.106 eV per atom

a = 4.4213 Å, b = 3.5866 Å, c = 4.5235 Å
α = 90.00°, β = 106.88°, γ = 90.00°
With the nearest neighbours (Å) after each atom.
Fractional coordinates of all 5 atoms:
As 0.0000 0.0000 0.0000  2 Ir 2.40, 1 Os 2.42
H 0.7304 0.5000 0.5397  1 Ir 1.83, 2 Os 1.88
Ir 0.0561 0.5000 0.3646  1 H 1.83
Os 0.6007 0.0000 0.5021  2 H 1.88
Au 0.4550 0.5000 0.9409  2 H 2.46-2.63, 1 Ir 2.69

---

The following is a DFT calculation (PBE) of an optimized crystal structure of Ba2TcSn.

Summary:
- Formation enthalpy at 0 K: 284 meV per atom

a = 8.5908 Å, b = 8.5908 Å, c = 8.5908 Å
α = 95.37°, β = 95.37°, γ = 144.36°
With the nearest neighbours (Å) after each atom.
Fractional coordinates of all 8 atoms:
Ba 0.3750 0.2010 0.3260  2 Tc 3.09
Ba 0.7990 0.1250 0.1740  2 Tc 3.09
Ba 0.8750 0.0490 0.6740  2 Tc 3.09
Ba 0.9510 0.6250 0.8260  2 Tc 3.09
Tc 0.0000 0.0000 0.0000  2 Sn 2.63
Tc 0.7500 0.2500 0.5000  2 Sn 2.63
Sn 0.2500 0.7500 0.5000  2 Tc 2.63
Sn 0.5000 0.5000 0.0000  2 Tc 2.63

---

The following is a DFT calculation (PBE) of an optimized crystal structure of CsPdI2.

Summary:
- ΔE to the lowest computed polymorph: 0.525 eV per atom

a = 5.9305 Å, b = 5.9305 Å, c = 5.9305 Å
α = 60.00°, β = 60.00°, γ = 60.00°
With the nearest neighbours (Å) after each atom.
Fractional coordinates of all 4 atoms:
Cs 0.0000 0.0000 0.0000  8 I 3.63
Pd 0.5000 0.5000 0.5000  8 I 3.63
I 0.2500 0.2500 0.2500  4 Pd 3.63, 4 Cs 3.63
I 0.7500 0.7500 0.7500  4 Pd 3.63, 4 Cs 3.63

---

The following is a DFT calculation (PBE) of an optimized crystal structure of KAsPO2.

Summary:
- ΔE to the lowest computed polymorph: 1.438 eV per atom

a = 4.3784 Å, b = 4.3784 Å, c = 6.7966 Å
α = 90.00°, β = 90.00°, γ = 90.00°
With the nearest neighbours (Å) after each atom.
Fractional coordinates of all 5 atoms:
K 0.0000 0.0000 0.0000  4 O 2.19
As 0.5000 0.5000 0.5000  4 P 3.10
P 0.0000 0.0000 0.5000  4 As 3.10, 2 K 3.40
O 0.0000 0.5000 0.0000  2 K 2.19
O 0.5000 0.0000 0.0000  2 K 2.19

---

The following is a DFT calculation (PBE) of an optimized crystal structure of PrCdGa.

Summary:
- Formation enthalpy at 0 K: -470 meV per atom

a = 4.7662 Å, b = 4.7662 Å, c = 3.7709 Å
α = 90.00°, β = 90.00°, γ = 120.00°
With the nearest neighbours (Å) after each atom.
Fractional coordinates of all 3 atoms:
Pr 0.0000 0.0000 0.0000  6 Ga 3.33-3.34, 6 Cd 3.34
Cd 0.6667 0.3333 0.5003  3 Ga 2.75
Ga 0.3333 0.6667 0.4983  3 Cd 2.75